Ce2CdBi | Alexandria via LeMat-Bulk | GGA-PBE | optimized geometry; calculated formation energy = -0.41 eV/atom; SG = P4/mmm (123)
1.0
4.147 0.000 0.000
0.000 4.147 0.000
0.000 0.000 6.785
Ce Cd Bi
2 1 1
direct
0.000 0.000 0.248
0.000 0.000 0.752
0.500 0.500 0.000
0.500 0.500 0.500

Ce2CdBi | Alexandria via LeMat-Bulk | GGA-PBE | optimized geometry; calculated formation energy = -0.24 eV/atom; SG = R-3m (166)
1.0
4.427 0.000 0.000
-2.214 3.834 0.000
0.000 0.000 23.949
Ce Cd Bi
6 3 3
direct
0.000 0.000 0.247
0.000 0.000 0.753
0.333 0.667 0.419
0.333 0.667 0.914
0.667 0.333 0.086
0.667 0.333 0.581
0.000 0.000 0.000
0.333 0.667 0.667
0.667 0.333 0.333
0.000 0.000 0.500
0.333 0.667 0.167
0.667 0.333 0.833

Ce2CdBi5 | Alexandria via LeMat-Bulk | GGA-PBE | optimized geometry; calculated formation energy = -0.46 eV/atom; SG = Cmmm (65)
1.0
9.154 0.000 0.000
0.000 10.098 0.000
0.000 0.000 5.068
Ce Cd Bi
4 2 10
direct
0.000 0.231 0.000
0.000 0.769 0.000
0.500 0.269 0.000
0.500 0.731 0.000
0.000 0.500 0.500
0.500 0.000 0.500
0.000 0.000 0.500
0.226 0.500 0.000
0.250 0.250 0.500
0.250 0.750 0.500
0.274 0.000 0.000
0.500 0.500 0.500
0.726 0.000 0.000
0.750 0.250 0.500
0.750 0.750 0.500
0.774 0.500 0.000

Ce4CdBi12 | Alexandria via LeMat-Bulk | GGA-PBE | optimized geometry; calculated formation energy = -0.29 eV/atom; SG = Im-3m (229)
1.0
-5.114 5.114 5.114
5.114 -5.114 5.114
5.114 5.114 -5.114
Ce Cd Bi
4 1 12
direct
0.000 0.000 0.500
0.000 0.500 0.000
0.500 0.000 0.000
0.500 0.500 0.500
0.000 0.000 0.000
0.000 0.283 0.283
0.000 0.717 0.717
0.250 0.500 0.750
0.250 0.750 0.500
0.283 0.000 0.283
0.283 0.283 0.000
0.500 0.250 0.750
0.500 0.750 0.250
0.717 0.000 0.717
0.717 0.717 0.000
0.750 0.250 0.500
0.750 0.500 0.250

CeCdBi2 | Alexandria via LeMat-Bulk | GGA-PBE | optimized geometry; calculated formation energy = -0.25 eV/atom; SG = R3m (160)
1.0
4.652 0.000 0.000
-2.326 4.028 0.000
0.000 0.000 20.991
Ce Cd Bi
3 3 6
direct
0.000 0.000 0.000
0.333 0.667 0.667
0.667 0.333 0.333
0.000 0.000 0.170
0.333 0.667 0.837
0.667 0.333 0.504
0.000 0.000 0.417
0.000 0.000 0.584
0.333 0.667 0.083
0.333 0.667 0.251
0.667 0.333 0.750
0.667 0.333 0.917

Ce5CdBi3 | Alexandria via LeMat-Bulk | GGA-PBE | optimized geometry; calculated formation energy = -0.58 eV/atom; SG = P6_3/mcm (193)
1.0
9.696 0.000 0.000
-4.848 8.397 0.000
0.000 0.000 6.554
Ce Cd Bi
10 2 6
direct
0.000 0.286 0.250
0.000 0.714 0.750
0.286 0.000 0.250
0.286 0.286 0.750
0.333 0.667 0.000
0.333 0.667 0.500
0.667 0.333 0.000
0.667 0.333 0.500
0.714 0.000 0.750
0.714 0.714 0.250
0.000 0.000 0.000
0.000 0.000 0.500
0.000 0.371 0.750
0.000 0.629 0.250
0.371 0.000 0.750
0.371 0.371 0.250
0.629 0.000 0.250
0.629 0.629 0.750

CeCd2Bi | Alexandria via LeMat-Bulk | GGA-PBE | optimized geometry; calculated formation energy = 0.21 eV/atom; SG = R-3m (166)
1.0
3.324 0.000 0.000
-1.662 2.879 0.000
0.000 0.000 36.162
Ce Cd Bi
3 6 3
direct
0.000 0.000 0.000
0.333 0.667 0.667
0.667 0.333 0.333
0.000 0.000 0.089
0.000 0.000 0.911
0.333 0.667 0.578
0.333 0.667 0.755
0.667 0.333 0.245
0.667 0.333 0.422
0.000 0.000 0.500
0.333 0.667 0.167
0.667 0.333 0.833

Ce2CdBi | Alexandria via LeMat-Bulk | GGA-PBE | optimized geometry; calculated formation energy = -0.35 eV/atom; SG = Fm-3m (225)
1.0
7.775 0.000 0.000
0.000 7.775 0.000
0.000 0.000 7.775
Ce Cd Bi
8 4 4
direct
0.250 0.250 0.250
0.250 0.250 0.750
0.250 0.750 0.250
0.250 0.750 0.750
0.750 0.250 0.250
0.750 0.250 0.750
0.750 0.750 0.250
0.750 0.750 0.750
0.000 0.000 0.000
0.000 0.500 0.500
0.500 0.000 0.500
0.500 0.500 0.000
0.000 0.000 0.500
0.000 0.500 0.000
0.500 0.000 0.000
0.500 0.500 0.500

calculated formation energy of number 4 (Ce4CdBi12)? -0.29 eV/atom

Which of these has the lowest calculated formation energy? Ce5CdBi3